(1)
Here is crystalline Pt2RhSe at its relaxed geometry from Alexandria via LeMat-Bulk. Energies are from GGA-PBE.

Calculated values
calculated volume	15.98	A^3/atom
raw total energy	-0.4106	Ry per atom
DOS at the Fermi energy	4.768	states/eV/f.u.
ΔE_f (raw)	0.6	eV/f.u.

abc: 2.8302 4.6892 4.8157
angles: 90.00 90.00 90.00
Last column: nearest neighbours and their distance in Å.
Positions (direct):
Pt  0.0000  0.0000  0.0000  6 Pt 2.74-2.83, 4 Se 2.79
Pt  0.5000  0.5000  0.0000  6 Pt 2.74-2.83, 4 Rh 2.79
Rh  0.0000  0.5000  0.5000  4 Se 2.74, 4 Pt 2.79, 2 Rh 2.83
Se  0.5000  0.0000  0.5000  4 Rh 2.74, 4 Pt 2.79, 2 Se 2.83



(2)
Here is crystalline PtRh2Se at its relaxed geometry from Alexandria via LeMat-Bulk. Energies are from GGA-PBE.

Calculated values
calculated volume	15.55	A^3/atom
raw total energy	-0.4301	Ry per atom
DOS at the Fermi energy	3.960	states/eV/f.u.
ΔE_f (raw)	0.8	eV/f.u.

abc: 2.8304 4.6302 4.7465
angles: 90.00 90.00 90.00
Last column: nearest neighbours and their distance in Å.
Positions (direct):
Pt  0.0000  0.0000  0.0000  4 Rh 2.71, 4 Se 2.76, 2 Pt 2.83
Rh  0.0000  0.5000  0.5000  4 Se 2.71, 6 Rh 2.76-2.83
Rh  0.5000  0.5000  0.0000  4 Pt 2.71, 6 Rh 2.76-2.83
Se  0.5000  0.0000  0.5000  4 Rh 2.71, 4 Pt 2.76, 2 Se 2.83



(3)
Here is crystalline Pt2RhSe at its relaxed geometry from Alexandria via LeMat-Bulk. Energies are from GGA-PBE.

Calculated values
calculated volume	16.04	A^3/atom
raw total energy	-0.4051	Ry per atom
DOS at the Fermi energy	5.992	states/eV/f.u.
ΔE_f (raw)	0.9	eV/f.u.

abc: 8.8777 8.8777 8.8777
angles: 18.90 18.90 18.90
Last column: nearest neighbours and their distance in Å.
Positions (direct):
Pt  0.2489  0.2489  0.2489  3 Se 2.73, 3 Rh 2.78, 6 Pt 2.92
Pt  0.7511  0.7511  0.7511  3 Se 2.73, 3 Rh 2.78, 6 Pt 2.92
Rh  0.0000  0.0000  0.0000  6 Pt 2.78, 6 Rh 2.92
Se  0.5000  0.5000  0.5000  6 Pt 2.73, 6 Se 2.92



(4)
Here is crystalline Pt2RhSe at its relaxed geometry from Alexandria via LeMat-Bulk. Energies are from GGA-PBE.

Calculated values
calculated volume	15.89	A^3/atom
raw total energy	-0.4120	Ry per atom
DOS at the Fermi energy	4.332	states/eV/f.u.
ΔE_f (raw)	0.5	eV/f.u.

abc: 5.4616 5.4616 5.4616
angles: 149.29 129.61 60.18
Last column: nearest neighbours and their distance in Å.
Positions (direct):
Pt  0.2397  0.2397  0.0000  2 Se 2.69, 6 Pt 2.75-2.89, 2 Rh 2.85
Pt  0.7603  0.7603  0.0000  2 Se 2.69, 6 Pt 2.75-2.89, 2 Rh 2.85
Rh  0.5000  0.0000  0.5000  4 Se 2.74, 4 Pt 2.85, 2 Rh 2.89
Se  0.0000  0.5000  0.5000  4 Pt 2.69, 4 Rh 2.74, 2 Se 2.89



(5)
Here is crystalline SnPtRh2Se at its relaxed geometry from Alexandria via LeMat-Bulk. Energies are from GGA-PBE.

Calculated values
calculated volume	21.70	A^3/atom
raw total energy	-0.3620	Ry per atom
DOS at the Fermi energy	5.115	states/eV/f.u.
ΔE_f (raw)	3.6	eV/f.u.

abc: 4.4983 4.4983 5.3632
angles: 90.00 90.00 90.00
Last column: nearest neighbours and their distance in Å.
Positions (direct):
Sn  0.0000  0.0000  0.0000  2 Se 2.68
Pt  0.5000  0.5000  0.0000  4 Sn 3.18, 8 Rh 3.50
Rh  0.0000  0.5000  0.5000  2 Se 2.25
Rh  0.5000  0.0000  0.5000  2 Se 2.25
Se  0.0000  0.0000  0.5000  4 Rh 2.25



(6)
Here is crystalline Th4PtRh2Se at its relaxed geometry from Alexandria via LeMat-Bulk. Energies are from GGA-PBE.

Calculated values
calculated volume	26.05	A^3/atom
raw total energy	-0.5763	Ry per atom
DOS at the Fermi energy	7.115	states/eV/f.u.
ΔE_f (raw)	-8.8	eV/f.u.

abc: 7.2618 4.0934 7.3859
angles: 90.00 108.36 90.00
Last column: nearest neighbours and their distance in Å.
Positions (direct):
Th  0.2399  0.0000  0.2315  3 Rh 2.88-2.92, 1 Pt 3.02, 2 Se 3.05
Th  0.2459  0.5000  0.7639  3 Rh 2.86-2.93, 2 Pt 3.00, 1 Se 3.08
Th  0.7541  0.5000  0.2361  3 Rh 2.86-2.93, 2 Pt 3.00, 1 Se 3.08
Th  0.7601  0.0000  0.7685  3 Rh 2.88-2.92, 1 Pt 3.02, 2 Se 3.05
Pt  0.0000  0.0000  0.5000  6 Th 3.00-3.02
Rh  0.0000  0.5000  0.0000  6 Th 2.86-2.88
Rh  0.5000  0.0000  0.0000  6 Th 2.92-2.93
Se  0.5000  0.5000  0.5000  6 Th 3.05-3.08



(7)
Here is crystalline Th6Pt2Rh3Se at its relaxed geometry from Alexandria via LeMat-Bulk. Energies are from GGA-PBE.

Calculated values
calculated volume	25.88	A^3/atom
raw total energy	-0.5825	Ry per atom
DOS at the Fermi energy	8.828	states/eV/f.u.
ΔE_f (raw)	-13.0	eV/f.u.

abc: 9.4244 9.4244 8.5225
angles: 104.35 104.35 25.10
Last column: nearest neighbours and their distance in Å.
Positions (direct):
Th  0.0009  0.0009  0.2342  3 Rh 2.86-2.89, 1 Pt 2.99, 2 Se 3.06
Th  0.3258  0.3258  0.4194  3 Rh 2.89-2.91, 2 Pt 2.99, 1 Se 3.10
Th  0.3360  0.3360  0.9130  3 Rh 2.92-2.93, 3 Pt 3.00-3.02
Th  0.6640  0.6640  0.0870  3 Rh 2.92-2.93, 3 Pt 3.00-3.02
Th  0.6742  0.6742  0.5806  3 Rh 2.89-2.91, 2 Pt 2.99, 1 Se 3.10
Th  0.9991  0.9991  0.7658  3 Rh 2.86-2.89, 1 Pt 2.99, 2 Se 3.06
Pt  0.1665  0.1665  0.8316  6 Th 2.99-3.02
Pt  0.8335  0.8335  0.1684  6 Th 2.99-3.02
Rh  0.1632  0.1632  0.3324  6 Th 2.89-2.93
Rh  0.5000  0.5000  0.0000  6 Th 2.86-2.92
Rh  0.8368  0.8368  0.6676  6 Th 2.89-2.93
Se  0.5000  0.5000  0.5000  6 Th 3.06-3.10



(8)
Here is crystalline Th4PtRhSe2 at its relaxed geometry from Alexandria via LeMat-Bulk. Energies are from GGA-PBE.

Calculated values
calculated volume	27.07	A^3/atom
raw total energy	-0.5543	Ry per atom
DOS at the Fermi energy	7.117	states/eV/f.u.
ΔE_f (raw)	-10.3	eV/f.u.

abc: 7.1498 4.1513 7.6692
angles: 90.00 107.94 90.00
Last column: nearest neighbours and their distance in Å.
Positions (direct):
Th  0.2387  0.0000  0.2254  2 Rh 2.90, 1 Pt 2.91, 3 Se 3.09-3.13
Th  0.2521  0.5000  0.7738  1 Rh 2.86, 2 Pt 2.93, 3 Se 3.10-3.14
Th  0.7479  0.5000  0.2262  1 Rh 2.86, 2 Pt 2.93, 3 Se 3.10-3.14
Th  0.7613  0.0000  0.7746  2 Rh 2.90, 1 Pt 2.91, 3 Se 3.09-3.13
Pt  0.5000  0.0000  0.0000  6 Th 2.91-2.93
Rh  0.0000  0.5000  0.0000  6 Th 2.86-2.90
Se  0.0000  0.0000  0.5000  6 Th 3.09-3.10
Se  0.5000  0.5000  0.5000  6 Th 3.13-3.14



(9)
Here is crystalline Si3PtRh at its relaxed geometry from Alexandria via LeMat-Bulk. Energies are from GGA-PBE.

Calculated values
calculated volume	15.73	A^3/atom
ΔE to the lowest computed polymorph	0.0000	eV/atom
raw total energy	-0.4682	Ry per atom
DOS at the Fermi energy	1.738	states/eV/f.u.
ΔE_f (raw)	-2.2	eV/f.u.

abc: 5.3966 3.7050 7.8726
angles: 90.00 91.92 90.00
Last column: nearest neighbours and their distance in Å.
Positions (direct):
Si  0.0345  0.2500  0.3675  1 Si 2.29, 2 Pt 2.45
Si  0.1885  0.2500  0.9728  3 Rh 2.43-2.46, 1 Pt 2.50
Si  0.4561  0.2500  0.3421  1 Si 2.29, 2 Pt 2.41
Si  0.5439  0.7500  0.6579  1 Si 2.29, 2 Pt 2.41
Si  0.8115  0.7500  0.0272  3 Rh 2.43-2.46, 1 Pt 2.50
Si  0.9655  0.7500  0.6325  1 Si 2.29, 2 Pt 2.45
Pt  0.2598  0.2500  0.6606  6 Si 2.41-2.57
Pt  0.7402  0.7500  0.3394  6 Si 2.41-2.57
Rh  0.2228  0.7500  0.1715  7 Si 2.43-2.64
Rh  0.7772  0.2500  0.8285  7 Si 2.43-2.64



(10)
Here is crystalline SiPtRh3 at its relaxed geometry from Alexandria via LeMat-Bulk. Energies are from GGA-PBE.

Calculated values
calculated volume	21.65	A^3/atom
ΔE to the lowest computed polymorph	1.1344	eV/atom
raw total energy	-0.3787	Ry per atom
DOS at the Fermi energy	8.104	states/eV/f.u.
ΔE_f (raw)	7.8	eV/f.u.

abc: 4.7656 4.7656 4.7656
angles: 90.00 90.00 90.00
Last column: nearest neighbours and their distance in Å.
Positions (direct):
Si  0.0000  0.0000  0.0000  12 Rh 3.37
Pt  0.5000  0.5000  0.5000  6 Rh 2.38
Rh  0.0000  0.5000  0.5000  2 Pt 2.38
Rh  0.5000  0.0000  0.5000  2 Pt 2.38
Rh  0.5000  0.5000  0.0000  2 Pt 2.38



(11)
Here is crystalline Si4Pt2Rh at its relaxed geometry from Alexandria via LeMat-Bulk. Energies are from GGA-PBE.

Calculated values
calculated volume	15.56	A^3/atom
raw total energy	-0.4687	Ry per atom
DOS at the Fermi energy	2.254	states/eV/f.u.
ΔE_f (raw)	-3.5	eV/f.u.

abc: 10.9385 3.8473 10.3552
angles: 90.00 90.00 90.00
Last column: nearest neighbours and their distance in Å.
Positions (direct):
Si  0.0016  0.2500  0.0986  4 Pt 2.37-2.49
Si  0.0691  0.2500  0.6662  2 Si 2.51-2.65, 3 Rh 2.56-2.66, 3 Pt 2.56-2.59
Si  0.1992  0.7500  0.2396  2 Si 2.38-2.65, 3 Pt 2.41-2.48
Si  0.2500  0.2500  0.5166  2 Si 2.38-2.51, 2 Rh 2.47, 2 Pt 2.55
Si  0.2500  0.7500  0.0166  2 Si 2.38-2.51, 2 Rh 2.47, 2 Pt 2.55
Si  0.3008  0.2500  0.7396  2 Si 2.38-2.65, 3 Pt 2.41-2.48
Si  0.4309  0.7500  0.1662  2 Si 2.51-2.65, 3 Rh 2.56-2.66, 3 Pt 2.56-2.59
Si  0.4984  0.7500  0.5986  4 Pt 2.37-2.49
Si  0.5016  0.2500  0.4014  4 Pt 2.37-2.49
Si  0.5691  0.2500  0.8338  2 Si 2.51-2.65, 3 Rh 2.56-2.66, 3 Pt 2.56-2.59
Si  0.6992  0.7500  0.2604  2 Si 2.38-2.65, 3 Pt 2.41-2.48
Si  0.7500  0.2500  0.9834  2 Si 2.38-2.51, 2 Rh 2.47, 2 Pt 2.55
Si  0.7500  0.7500  0.4834  2 Si 2.38-2.51, 2 Rh 2.47, 2 Pt 2.55
Si  0.8008  0.2500  0.7604  2 Si 2.38-2.65, 3 Pt 2.41-2.48
Si  0.9309  0.7500  0.3338  2 Si 2.51-2.65, 3 Rh 2.56-2.66, 3 Pt 2.56-2.59
Si  0.9984  0.7500  0.9014  4 Pt 2.37-2.49
Pt  0.0837  0.2500  0.3100  5 Si 2.37-2.56
Pt  0.1378  0.2500  0.9056  7 Si 2.46-2.59
Pt  0.3622  0.7500  0.4056  7 Si 2.46-2.59
Pt  0.4163  0.7500  0.8100  5 Si 2.37-2.56
Pt  0.5837  0.2500  0.1900  5 Si 2.37-2.56
Pt  0.6378  0.2500  0.5944  7 Si 2.46-2.59
Pt  0.8622  0.7500  0.0944  7 Si 2.46-2.59
Pt  0.9163  0.7500  0.6900  5 Si 2.37-2.56
Rh  0.1090  0.7500  0.5091  5 Si 2.47-2.66
Rh  0.3910  0.2500  0.0091  5 Si 2.47-2.66
Rh  0.6090  0.7500  0.9909  5 Si 2.47-2.66
Rh  0.8910  0.2500  0.4909  5 Si 2.47-2.66



(12)
Here is crystalline SiPt2Rh2 at its relaxed geometry from Alexandria via LeMat-Bulk. Energies are from GGA-PBE.

Calculated values
calculated volume	16.74	A^3/atom
raw total energy	-0.4493	Ry per atom
DOS at the Fermi energy	8.777	states/eV/f.u.
ΔE_f (raw)	1.6	eV/f.u.

abc: 7.1388 7.1388 7.1388
angles: 151.31 151.31 41.02
Last column: nearest neighbours and their distance in Å.
Positions (direct):
Si  0.0000  0.0000  0.0000  8 Rh 2.80
Pt  0.2500  0.7500  0.5000  4 Pt 2.50, 4 Rh 2.73
Pt  0.7500  0.2500  0.5000  4 Pt 2.50, 4 Rh 2.73
Rh  0.4059  0.4059  0.0000  1 Rh 2.52, 4 Pt 2.73, 4 Si 2.80
Rh  0.5941  0.5941  0.0000  1 Rh 2.52, 4 Pt 2.73, 4 Si 2.80



- Which of these has the lowest calculated volume?
  PtRh2Se



- Which formula does entry 3 have?
  Pt2RhSe



- What is the ΔE_f (raw) in the tenth record?
  7.8 eV/f.u.